Entry from Alexandria via LeMat-Bulk: a relaxed Er3SCl7 crystal (PBE-GGA).

Values from the calculation:
- Fermi-level density of states: 0.00 states/eV/cell

abc: 7.9150 7.9150 6.7208
angles: 90.00 90.00 120.00
Space group P3m1 (No. 156)
Asymmetric unit:
1 Er 0.0125 0.5062 0.0000 x3
2 S 0.3333 0.6667 0.7895 x1
3 Cl 0.1755 0.3510 0.2211 x3
4 Cl 0.3538 0.1769 0.7996 x3
5 Cl 0.6667 0.3333 0.2249 x1

=====

Entry from Alexandria via LeMat-Bulk: a relaxed ErScCl3 crystal (PBE-GGA).

abc: 15.673 3.671 10.114
angles: 90.00 102.90 90.00
Space group C2/m (No. 12)
Asymmetric unit:
1 Er 0.092 0.000 0.456 x4
2 Sc 0.075 0.500 0.741 x4
3 Cl 0.086 0.500 0.255 x4
4 Cl 0.130 0.000 0.911 x4
5 Cl 0.200 0.500 0.614 x4

=====

Entry from Alexandria via LeMat-Bulk: a relaxed ErScCl3 crystal (PBE-GGA).

abc: 17.121 3.633 10.619
angles: 90.00 124.14 90.00
Space group C2/m (No. 12)
Asymmetric unit:
1 Er 0.136 0.000 0.285 x4
2 Sc 0.070 0.500 0.958 x4
3 Cl 0.032 0.000 0.752 x4
4 Cl 0.168 0.500 0.508 x4
5 Cl 0.204 0.000 0.112 x4

=====

Number 1: total magnetization 0.03 Bohr magnetons per cell, formation energy without anion corrections -2.225 eV per atom. Number 2: total magnetization 0.00 Bohr magnetons per cell, formation energy without anion corrections -1.756 eV per atom. Number 3: total magnetization 0.00 Bohr magnetons per cell, formation energy without anion corrections -1.790 eV per atom.